Record 1
Entry from the Alexandria database: La3Pm2In4 after structural relaxation (PBE-GGA).

The total energy comes out at -4.3064 eV per atom. Its total magnetization is 0.000 μB/atom. The value obtained for the energy of formation is -3.521 eV/f.u. As for the crystal system: monoclinic.

The structure belongs to space group C2/m (No. 12); the cell edges are 12.075, 5.224 and 10.302 Å and the angles 90.00°, 121.48° and 90.00°. Symmetry generates all atoms from La at (0.000, 0.000, 0.000), La at (0.150, 0.500, 0.684), Pm at (0.145, 0.500, 0.308), In at (0.049, 0.000, 0.389) and In at (0.207, 0.500, 0.041).



Record 2
Entry from the Alexandria database: La5PmIn4 after structural relaxation (PBE-GGA).

The total energy comes out at -4.4291 eV per atom. Its total magnetization is 0.000 μB/atom. The value obtained for the energy of formation is -3.949 eV/f.u. As for the crystal system: tetragonal.

The structure belongs to space group P4/mmm (No. 123); the cell edges are 3.684, 3.684 and 23.294 Å and the angles 90.00°, 90.00° and 90.00°. Symmetry generates all atoms from La at (0.000, 0.000, 0.000), La at (0.000, 0.000, 0.194), La at (0.000, 0.000, 0.385), Pm at (0.500, 0.500, 0.500), In at (0.500, 0.500, 0.097) and In at (0.500, 0.500, 0.291).